The following is a PBE-GGA calculation of an optimized crystal structure of YAuI3, from the Alexandria database.

The value obtained for the energy relative to the elements, uncorrected is -0.471 eV per atom. The energy above the lowest structure with this stoichiometry is 0.0 kJ/mol of atoms.

It has space group Pm-3m (No. 221), with a = 5.9984 Å, b = 5.9984 Å, c = 5.9984 Å, α = 90.00°, β = 90.00° and γ = 90.00°. The inequivalent atoms are Y at (0.0000, 0.0000, 0.0000), Au at (0.5000, 0.5000, 0.5000) and I at (0.0000, 0.0000, 0.5000).